# GGA-PBE Y2PuCo, optimized geometry
data_Y2PuCo
_chemical_formula_sum 'Y6 Pu3 Co3'
_cell_length_a 3.5605
_cell_length_b 3.5605
_cell_length_c 30.5265
_cell_angle_alpha 90.00
_cell_angle_beta 90.00
_cell_angle_gamma 120.00
_space_group_name_H-M_alt 'R -3 m'
_space_group_IT_number 166
_space_group_name_Hall '-R 3 2"'
loop_
_atom_site_label
_atom_site_type_symbol
_atom_site_fract_x
_atom_site_fract_y
_atom_site_fract_z
_atom_site_occupancy
Y1 Y 0.0000 0.0000 0.1119 1
Pu1 Pu 0.0000 0.0000 0.0000 1
Co1 Co 0.0000 0.0000 0.5000 1
# Density of states at the Fermi level ... 11.397 states/eV/f.u.
# Total magnetic moment ... 6.53 μB/f.u.
# DFT total energy ... -8.30 eV/atom
# Energy relative to the elements ... 289 meV per atom
# Calculated volume ... 27.93 Å³ per atom
# Distance to the lowest polymorph of the same formula ... 265 meV per atom

# GGA-PBE YPuCo10, optimized geometry
data_YPuCo10
_chemical_formula_sum 'Y1 Pu1 Co10'
_cell_length_a 3.956
_cell_length_b 4.914
_cell_length_c 8.463
_cell_angle_alpha 90.00
_cell_angle_beta 90.00
_cell_angle_gamma 90.00
_space_group_name_H-M_alt 'P m m m'
_space_group_IT_number 47
loop_
_space_group_symop_operation_xyz
'x,y,z'
'-x,-y,-z'
'-x,-y,z'
'x,y,-z'
'x,-y,-z'
'-x,y,z'
'-x,y,-z'
'x,-y,z'
loop_
_atom_site_label
_atom_site_type_symbol
_atom_site_fract_x
_atom_site_fract_y
_atom_site_fract_z
_atom_site_occupancy
Y1 Y 0.000 0.000 0.000 1
Pu1 Pu 0.000 0.500 0.500 1
Co1 Co 0.000 0.000 0.342 1
Co2 Co 0.000 0.500 0.178 1
Co3 Co 0.500 0.000 0.500 1
Co4 Co 0.500 0.249 0.251 1
Co5 Co 0.500 0.500 0.000 1
# Density of states at the Fermi level ... 19.100 states/eV/f.u.
# Total magnetic moment ... 9.05 μB/f.u.
# DFT total energy ... -7.75 eV/atom
# Energy relative to the elements ... -93 meV per atom
# Calculated volume ... 13.71 Å³ per atom

# GGA-PBE Y3PuCo, optimized geometry
data_Y3PuCo
_chemical_formula_sum 'Y3 Pu1 Co1'
_cell_length_a 5.284
_cell_length_b 5.284
_cell_length_c 5.284
_cell_angle_alpha 90.00
_cell_angle_beta 90.00
_cell_angle_gamma 90.00
_space_group_name_H-M_alt 'P m -3 m'
_space_group_IT_number 221
_space_group_name_Hall '-P 4 2 3'
loop_
_atom_site_label
_atom_site_type_symbol
_atom_site_fract_x
_atom_site_fract_y
_atom_site_fract_z
_atom_site_occupancy
Y1 Y 0.000 0.000 0.500 1
Pu1 Pu 0.500 0.500 0.500 1
Co1 Co 0.000 0.000 0.000 1
# Density of states at the Fermi level ... 13.682 states/eV/f.u.
# Total magnetic moment ... 7.00 μB/f.u.
# DFT total energy ... -8.06 eV/atom
# Energy relative to the elements ... 106 meV per atom
# Calculated volume ... 29.51 Å³ per atom

# GGA-PBE Pu2ZnCo3, optimized geometry
data_Pu2ZnCo3
_chemical_formula_sum 'Pu6 Zn3 Co9'
_cell_length_a 5.2124
_cell_length_b 5.2124
_cell_length_c 11.8288
_cell_angle_alpha 90.00
_cell_angle_beta 90.00
_cell_angle_gamma 120.00
_space_group_name_H-M_alt 'R -3 m'
_space_group_IT_number 166
_space_group_name_Hall '-R 3 2"'
loop_
_atom_site_label
_atom_site_type_symbol
_atom_site_fract_x
_atom_site_fract_y
_atom_site_fract_z
_atom_site_occupancy
Pu1 Pu 0.0000 0.0000 0.1244 1
Zn1 Zn 0.0000 0.0000 0.5000 1
Co1 Co 0.0000 0.5000 0.0000 1
# Density of states at the Fermi level ... 15.923 states/eV/f.u.
# Total magnetic moment ... 8.82 μB/f.u.
# DFT total energy ... -8.65 eV/atom
# Energy relative to the elements ... -106 meV per atom
# Calculated volume ... 15.46 Å³ per atom

# GGA-PBE PuZn2Co, optimized geometry
data_PuZn2Co
_chemical_formula_sum 'Pu1 Zn2 Co1'
_cell_length_a 2.538
_cell_length_b 2.538
_cell_length_c 8.750
_cell_angle_alpha 90.00
_cell_angle_beta 90.00
_cell_angle_gamma 90.00
_space_group_name_H-M_alt 'P 4/m m m'
_space_group_IT_number 123
_space_group_name_Hall '-P 4 2'
loop_
_atom_site_label
_atom_site_type_symbol
_atom_site_fract_x
_atom_site_fract_y
_atom_site_fract_z
_atom_site_occupancy
Pu1 Pu 0.000 0.000 0.000 1
Zn1 Zn 0.500 0.500 0.290 1
Co1 Co 0.000 0.000 0.500 1
# Density of states at the Fermi level ... 6.629 states/eV/f.u.
# Total magnetic moment ... 1.48 μB/f.u.
# DFT total energy ... -5.87 eV/atom
# Energy relative to the elements ... 128 meV per atom
# Calculated volume ... 14.09 Å³ per atom

# GGA-PBE Pu2Zn2Co15, optimized geometry
data_Pu2Zn2Co15
_chemical_formula_sum 'Pu6 Zn6 Co45'
_cell_length_a 8.3411
_cell_length_b 8.3411
_cell_length_c 12.1165
_cell_angle_alpha 90.00
_cell_angle_beta 90.00
_cell_angle_gamma 120.00
_space_group_name_H-M_alt 'R -3 m'
_space_group_IT_number 166
_space_group_name_Hall '-R 3 2"'
loop_
_atom_site_label
_atom_site_type_symbol
_atom_site_fract_x
_atom_site_fract_y
_atom_site_fract_z
_atom_site_occupancy
Pu1 Pu 0.0000 0.0000 0.1504 1
Zn1 Zn 0.0000 0.0000 0.3984 1
Co1 Co 0.0000 0.2931 0.5000 1
Co2 Co 0.0000 0.5000 0.0000 1
Co3 Co 0.0031 0.5016 0.6492 1
# Density of states at the Fermi level ... 29.508 states/eV/f.u.
# Total magnetic moment ... 10.67 μB/f.u.
# DFT total energy ... -7.31 eV/atom
# Energy relative to the elements ... -55 meV per atom
# Calculated volume ... 12.81 Å³ per atom

# GGA-PBE PuZn8Co4, optimized geometry
data_PuZn8Co4
_chemical_formula_sum 'Pu2 Zn16 Co8'
_cell_length_a 8.704
_cell_length_b 8.704
_cell_length_c 4.948
_cell_angle_alpha 90.00
_cell_angle_beta 90.00
_cell_angle_gamma 90.00
_space_group_name_H-M_alt 'I 4/m m m'
_space_group_IT_number 139
_space_group_name_Hall '-I 4 2'
loop_
_atom_site_label
_atom_site_type_symbol
_atom_site_fract_x
_atom_site_fract_y
_atom_site_fract_z
_atom_site_occupancy
Pu1 Pu 0.000 0.000 0.000 1
Zn1 Zn 0.000 0.225 0.500 1
Zn2 Zn 0.000 0.341 0.000 1
Co1 Co 0.250 0.250 0.250 1
# Density of states at the Fermi level ... 21.819 states/eV/f.u.
# Total magnetic moment ... 9.77 μB/f.u.
# DFT total energy ... -4.15 eV/atom
# Energy relative to the elements ... -75 meV per atom
# Calculated volume ... 14.42 Å³ per atom

# GGA-PBE Pu2Zn16Co, optimized geometry
data_Pu2Zn16Co
_chemical_formula_sum 'Pu6 Zn48 Co3'
_cell_length_a 8.9734
_cell_length_b 8.9734
_cell_length_c 13.1083
_cell_angle_alpha 90.00
_cell_angle_beta 90.00
_cell_angle_gamma 120.00
_space_group_name_H-M_alt 'R 3 m'
_space_group_IT_number 160
_space_group_name_Hall 'R 3 -2"'
loop_
_atom_site_label
_atom_site_type_symbol
_atom_site_fract_x
_atom_site_fract_y
_atom_site_fract_z
_atom_site_occupancy
Pu1 Pu 0.0000 0.0000 0.0000 1
Pu2 Pu 0.0000 0.0000 0.3320 1
Zn1 Zn 0.0000 0.0000 0.7554 1
Zn2 Zn 0.0002 0.2883 0.6587 1
Zn3 Zn 0.0008 0.5004 0.8106 1
Zn4 Zn 0.0083 0.5042 0.1595 1
Zn5 Zn 0.1712 0.3424 0.8444 1
Co1 Co 0.0000 0.0000 0.5521 1
# Density of states at the Fermi level ... 23.934 states/eV/f.u.
# Total magnetic moment ... 10.25 μB/f.u.
# DFT total energy ... -3.07 eV/atom
# Energy relative to the elements ... -114 meV per atom
# Calculated volume ... 16.04 Å³ per atom

# GGA-PBE PuZn7Co5, optimized geometry
data_PuZn7Co5
_chemical_formula_sum 'Pu2 Zn14 Co10'
_cell_length_a 4.911
_cell_length_b 8.615
_cell_length_c 8.646
_cell_angle_alpha 90.00
_cell_angle_beta 90.00
_cell_angle_gamma 90.00
_space_group_name_H-M_alt 'I m m 2'
_space_group_IT_number 44
loop_
_space_group_symop_operation_xyz
'x,y,z'
'-x,-y,z'
'-x,y,z'
'x,-y,z'
'x+1/2,y+1/2,z+1/2'
'-x+1/2,-y+1/2,z+1/2'
'-x+1/2,y+1/2,z+1/2'
'x+1/2,-y+1/2,z+1/2'
loop_
_atom_site_label
_atom_site_type_symbol
_atom_site_fract_x
_atom_site_fract_y
_atom_site_fract_z
_atom_site_occupancy
Pu1 Pu 0.000 0.000 0.000 1
Zn1 Zn 0.000 0.000 0.334 1
Zn2 Zn 0.000 0.000 0.653 1
Zn3 Zn 0.000 0.286 0.481 1
Zn4 Zn 0.000 0.346 0.974 1
Zn5 Zn 0.000 0.500 0.255 1
Co1 Co 0.000 0.500 0.716 1
Co2 Co 0.245 0.244 0.226 1
# Density of states at the Fermi level ... 23.077 states/eV/f.u.
# Total magnetic moment ... 10.58 μB/f.u.
# DFT total energy ... -4.58 eV/atom
# Energy relative to the elements ... -56 meV per atom
# Calculated volume ... 14.07 Å³ per atom

# GGA-PBE PuZn11Co, optimized geometry
data_PuZn11Co
_chemical_formula_sum 'Pu2 Zn22 Co2'
_cell_length_a 5.005
_cell_length_b 12.679
_cell_length_c 6.805
_cell_angle_alpha 90.00
_cell_angle_beta 111.13
_cell_angle_gamma 90.00
_space_group_name_H-M_alt 'C 1 2/m 1'
_space_group_IT_number 12
loop_
_space_group_symop_operation_xyz
'x,y,z'
'-x,-y,-z'
'-x,y,-z'
'x,-y,z'
'x+1/2,y+1/2,z'
'-x+1/2,-y+1/2,-z'
'-x+1/2,y+1/2,-z'
'x+1/2,-y+1/2,z'
loop_
_atom_site_label
_atom_site_type_symbol
_atom_site_fract_x
_atom_site_fract_y
_atom_site_fract_z
_atom_site_occupancy
Pu1 Pu 0.000 0.000 0.000 1
Zn1 Zn 0.000 0.000 0.500 1
Zn2 Zn 0.102 0.394 0.221 1
Zn3 Zn 0.196 0.171 0.360 1
Zn4 Zn 0.250 0.250 0.000 1
Co1 Co 0.000 0.500 0.500 1
# Density of states at the Fermi level ... 15.153 states/eV/f.u.
# Total magnetic moment ... 6.25 μB/f.u.
# DFT total energy ... -2.83 eV/atom
# Energy relative to the elements ... -103 meV per atom
# Calculated volume ... 15.49 Å³ per atom